[1]
DFT (GGA-PBE) results for crystalline BaZr at its relaxed geometry.

Unit cell a=5.752 b=12.417 c=5.787 alpha=90.00 beta=90.00 gamma=90.00
Atoms (fractional coordinates):
1 Ba 0.000 0.085 0.000
2 Ba 0.000 0.269 0.533
3 Ba 0.000 0.731 0.033
4 Ba 0.000 0.915 0.500
5 Ba 0.500 0.263 0.133
6 Ba 0.500 0.737 0.633
7 Zr 0.000 0.456 0.981
8 Zr 0.000 0.544 0.481
9 Zr 0.500 0.046 0.660
10 Zr 0.500 0.456 0.688
11 Zr 0.500 0.544 0.188
12 Zr 0.500 0.954 0.160

M_tot: 0.01 μB per formula unit
Uncorrected energy: -4.66 eV per atom
Energy relative to the lowest polymorph listed for this composition: 0.239 eV per atom

=====

[2]
DFT (GGA-PBE) results for crystalline BaZr at its relaxed geometry.

Unit cell a=9.568 b=5.228 c=10.427 alpha=90.00 beta=109.16 gamma=90.00
Atoms (fractional coordinates):
1 Ba 0.031 0.250 0.354
2 Ba 0.185 0.750 0.118
3 Ba 0.327 0.250 0.846
4 Ba 0.673 0.750 0.154
5 Ba 0.815 0.250 0.882
6 Ba 0.969 0.750 0.646
7 Zr 0.286 0.750 0.506
8 Zr 0.431 0.250 0.288
9 Zr 0.447 0.250 0.572
10 Zr 0.553 0.750 0.428
11 Zr 0.569 0.750 0.712
12 Zr 0.714 0.250 0.494

M_tot: 0.05 μB per formula unit
Uncorrected energy: -4.89 eV per atom
Energy relative to the lowest polymorph listed for this composition: 0.004 eV per atom

=====

[3]
DFT (GGA-PBE) results for crystalline BaZr at its relaxed geometry.

Unit cell a=4.687 b=4.687 c=4.687 alpha=60.00 beta=60.00 gamma=60.00
Atoms (fractional coordinates):
1 Ba 0.000 0.000 0.000
2 Zr 0.750 0.750 0.750

M_tot: 0.12 μB per formula unit
Uncorrected energy: -2.99 eV per atom
Energy relative to the lowest polymorph listed for this composition: 1.904 eV per atom

=====

[4]
DFT (GGA-PBE) results for crystalline BaZr at its relaxed geometry.

Unit cell a=3.409 b=5.277 c=7.362 alpha=90.00 beta=90.00 gamma=90.00
Atoms (fractional coordinates):
1 Ba 0.250 0.250 0.145
2 Ba 0.750 0.750 0.855
3 Zr 0.250 0.750 0.435
4 Zr 0.750 0.250 0.565

M_tot: 0.00 μB per formula unit
Uncorrected energy: -4.64 eV per atom
Energy relative to the lowest polymorph listed for this composition: 0.260 eV per atom

=====

energy relative to the lowest polymorph listed for this composition of number 3 (BaZr)?
1.904 eV per atom